No. 1
# MgIr | the Open Quantum Materials Database | GGA-PBE | optimized geometry
data_MgIr
_space_group_name_H-M_alt 'P m c 21'
_space_group_IT_number 26
_space_group_name_Hall 'P 2c -2'
_cell_length_a 4.590
_cell_length_b 8.321
_cell_length_c 4.873
_cell_angle_alpha 90.00
_cell_angle_beta 90.00
_cell_angle_gamma 90.00
loop_
_atom_site_label
_atom_site_fract_x
_atom_site_fract_y
_atom_site_fract_z
Mg1 0.000 0.082 0.000
Mg2 0.000 0.409 0.972
Mg3 0.500 0.405 0.312
Ir1 0.000 0.251 0.496
Ir2 0.500 0.083 0.311
Ir3 0.500 0.244 0.800
# **Crystal system**: orthorhombic
# **Total DFT energy (no corrections)**: -5.404 eV/atom


No. 2
# Mg3Ir | the Open Quantum Materials Database | GGA-PBE | optimized geometry
data_Mg3Ir
_space_group_name_H-M_alt 'C m c m'
_space_group_IT_number 63
_space_group_name_Hall '-C 2c 2'
_cell_length_a 5.885
_cell_length_b 10.176
_cell_length_c 4.628
_cell_angle_alpha 90.00
_cell_angle_beta 90.00
_cell_angle_gamma 90.00
loop_
_atom_site_label
_atom_site_fract_x
_atom_site_fract_y
_atom_site_fract_z
Mg1 0.000 0.175 0.250
Mg2 0.238 0.413 0.250
Ir1 0.000 0.333 0.750
# **Crystal system**: orthorhombic
# **Total DFT energy (no corrections)**: -3.642 eV/atom


No. 3
# Mg3Ir | the Open Quantum Materials Database | GGA-PBE | optimized geometry
data_Mg3Ir
_space_group_name_H-M_alt 'C m c m'
_space_group_IT_number 63
_space_group_name_Hall '-C 2c 2'
_cell_length_a 5.888
_cell_length_b 10.169
_cell_length_c 4.629
_cell_angle_alpha 90.00
_cell_angle_beta 90.00
_cell_angle_gamma 90.00
loop_
_atom_site_label
_atom_site_fract_x
_atom_site_fract_y
_atom_site_fract_z
Mg1 0.000 0.174 0.250
Mg2 0.238 0.412 0.250
Ir1 0.000 0.334 0.750
# **Crystal system**: orthorhombic
# **Total DFT energy (no corrections)**: -3.642 eV/atom


No. 4
# MgIr | the Open Quantum Materials Database | GGA-PBE | optimized geometry
data_MgIr
_space_group_name_H-M_alt 'P -6 m 2'
_space_group_IT_number 187
_space_group_name_Hall 'P -6 2'
_cell_length_a 2.8744
_cell_length_b 2.8744
_cell_length_c 4.2786
_cell_angle_alpha 90.00
_cell_angle_beta 90.00
_cell_angle_gamma 120.00
loop_
_atom_site_label
_atom_site_fract_x
_atom_site_fract_y
_atom_site_fract_z
Mg1 0.0000 0.0000 0.0000
Ir1 0.3333 0.6667 0.5000
# **Crystal system**: hexagonal
# **Total DFT energy (no corrections)**: -5.470 eV/atom


No. 5
# Mg3Ir | the Open Quantum Materials Database | GGA-PBE | optimized geometry
data_Mg3Ir
_space_group_name_H-M_alt 'P m m n'
_space_group_IT_number 59
_cell_length_a 4.655
_cell_length_b 5.864
_cell_length_c 5.055
_cell_angle_alpha 90.00
_cell_angle_beta 90.00
_cell_angle_gamma 90.00
loop_
_space_group_symop_operation_xyz
'x,y,z'
'-x,-y,-z'
'-x+1/2,-y+1/2,z'
'x+1/2,y+1/2,-z'
'x+1/2,-y,-z'
'-x+1/2,y,z'
'-x,y+1/2,-z'
'x,-y+1/2,z'
loop_
_atom_site_label
_atom_site_fract_x
_atom_site_fract_y
_atom_site_fract_z
Mg1 0.250 0.002 0.173
Mg2 0.250 0.750 0.637
Ir1 0.250 0.250 0.688
# **Crystal system**: orthorhombic
# **Total DFT energy (no corrections)**: -3.676 eV/atom


No. 6
# MgIr | the Open Quantum Materials Database | GGA-PBE | optimized geometry
data_MgIr
_space_group_name_H-M_alt 'A m m 2'
_space_group_IT_number 38
_space_group_name_Hall 'A 2 -2'
_cell_length_a 4.574
_cell_length_b 14.095
_cell_length_c 4.801
_cell_angle_alpha 90.00
_cell_angle_beta 90.00
_cell_angle_gamma 90.00
loop_
_atom_site_label
_atom_site_fract_x
_atom_site_fract_y
_atom_site_fract_z
Mg1 0.000 0.000 0.000
Mg2 0.000 0.196 0.977
Mg3 0.500 0.192 0.332
Ir1 0.000 0.103 0.496
Ir2 0.500 0.000 0.314
Ir3 0.500 0.098 0.826
# **Crystal system**: orthorhombic
# **Total DFT energy (no corrections)**: -5.394 eV/atom


No. 7
# MgIr | the Open Quantum Materials Database | GGA-PBE | optimized geometry
data_MgIr
_space_group_name_H-M_alt 'P m m n'
_space_group_IT_number 59
_cell_length_a 4.496
_cell_length_b 5.630
_cell_length_c 9.924
_cell_angle_alpha 90.00
_cell_angle_beta 90.00
_cell_angle_gamma 90.00
loop_
_space_group_symop_operation_xyz
'x,y,z'
'-x,-y,-z'
'-x+1/2,-y+1/2,z'
'x+1/2,y+1/2,-z'
'x+1/2,-y,-z'
'-x+1/2,y,z'
'-x,y+1/2,-z'
'x,-y+1/2,z'
loop_
_atom_site_label
_atom_site_fract_x
_atom_site_fract_y
_atom_site_fract_z
Mg1 0.250 0.001 0.087
Mg2 0.250 0.750 0.341
Mg3 0.250 0.750 0.807
Ir1 0.250 0.008 0.582
Ir2 0.250 0.250 0.346
Ir3 0.250 0.250 0.837
# **Crystal system**: orthorhombic
# **Total DFT energy (no corrections)**: -5.378 eV/atom


No. 8
# NaMgMoIr | the Open Quantum Materials Database | GGA-PBE | optimized geometry
data_NaMgMoIr
_space_group_name_H-M_alt 'F -4 3 m'
_space_group_IT_number 216
_space_group_name_Hall 'F -4 2 3'
_cell_length_a 6.354
_cell_length_b 6.354
_cell_length_c 6.354
_cell_angle_alpha 90.00
_cell_angle_beta 90.00
_cell_angle_gamma 90.00
loop_
_atom_site_label
_atom_site_fract_x
_atom_site_fract_y
_atom_site_fract_z
Na1 0.000 0.000 0.000
Mg1 0.250 0.250 0.250
Mo1 0.250 0.250 0.750
Ir1 0.000 0.000 0.500
# **Crystal system**: cubic
# **Offset from the most stable computed form**: 0.0 kJ per mole of atoms


No. 9
# NaMgMoIr | the Open Quantum Materials Database | GGA-PBE | optimized geometry
data_NaMgMoIr
_space_group_name_H-M_alt 'F -4 3 m'
_space_group_IT_number 216
_space_group_name_Hall 'F -4 2 3'
_cell_length_a 6.383
_cell_length_b 6.383
_cell_length_c 6.383
_cell_angle_alpha 90.00
_cell_angle_beta 90.00
_cell_angle_gamma 90.00
loop_
_atom_site_label
_atom_site_fract_x
_atom_site_fract_y
_atom_site_fract_z
Na1 0.000 0.000 0.000
Mg1 0.250 0.250 0.750
Mo1 0.000 0.000 0.500
Ir1 0.250 0.250 0.250
# **Crystal system**: cubic
# **Offset from the most stable computed form**: 12.7 kJ per mole of atoms


No. 10
# RbMgMoIr | the Open Quantum Materials Database | GGA-PBE | optimized geometry
data_RbMgMoIr
_space_group_name_H-M_alt 'F -4 3 m'
_space_group_IT_number 216
_space_group_name_Hall 'F -4 2 3'
_cell_length_a 6.945
_cell_length_b 6.945
_cell_length_c 6.945
_cell_angle_alpha 90.00
_cell_angle_beta 90.00
_cell_angle_gamma 90.00
loop_
_atom_site_label
_atom_site_fract_x
_atom_site_fract_y
_atom_site_fract_z
Rb1 0.000 0.000 0.000
Mg1 0.250 0.250 0.750
Mo1 0.000 0.000 0.500
Ir1 0.250 0.250 0.250
# **Crystal system**: cubic
# **Offset from the most stable computed form**: 23.5 kJ per mole of atoms


No. 11
# RbMgMoIr | the Open Quantum Materials Database | GGA-PBE | optimized geometry
data_RbMgMoIr
_space_group_name_H-M_alt 'F -4 3 m'
_space_group_IT_number 216
_space_group_name_Hall 'F -4 2 3'
_cell_length_a 6.992
_cell_length_b 6.992
_cell_length_c 6.992
_cell_angle_alpha 90.00
_cell_angle_beta 90.00
_cell_angle_gamma 90.00
loop_
_atom_site_label
_atom_site_fract_x
_atom_site_fract_y
_atom_site_fract_z
Rb1 0.000 0.000 0.000
Mg1 0.000 0.000 0.500
Mo1 0.250 0.250 0.250
Ir1 0.250 0.250 0.750
# **Crystal system**: cubic
# **Offset from the most stable computed form**: 42.5 kJ per mole of atoms


No. 12
# RbMgMoIr | the Open Quantum Materials Database | GGA-PBE | optimized geometry
data_RbMgMoIr
_space_group_name_H-M_alt 'F -4 3 m'
_space_group_IT_number 216
_space_group_name_Hall 'F -4 2 3'
_cell_length_a 6.726
_cell_length_b 6.726
_cell_length_c 6.726
_cell_angle_alpha 90.00
_cell_angle_beta 90.00
_cell_angle_gamma 90.00
loop_
_atom_site_label
_atom_site_fract_x
_atom_site_fract_y
_atom_site_fract_z
Rb1 0.000 0.000 0.000
Mg1 0.250 0.250 0.750
Mo1 0.250 0.250 0.250
Ir1 0.000 0.000 0.500
# **Crystal system**: cubic
# **Offset from the most stable computed form**: 0.0 kJ per mole of atoms


No. 13
# MgIrN2 | the Open Quantum Materials Database | GGA-PBE | optimized geometry
data_MgIrN2
_space_group_name_H-M_alt 'P 63/m m c'
_space_group_IT_number 194
_space_group_name_Hall '-P 6c 2c'
_cell_length_a 3.0513
_cell_length_b 3.0513
_cell_length_c 10.2907
_cell_angle_alpha 90.00
_cell_angle_beta 90.00
_cell_angle_gamma 120.00
loop_
_atom_site_label
_atom_site_fract_x
_atom_site_fract_y
_atom_site_fract_z
Mg1 0.0000 0.0000 0.0000
Ir1 0.3333 0.6667 0.2500
N1 0.3333 0.6667 0.6271
# **Crystal system**: hexagonal
# **Total DFT energy (no corrections)**: -6.356 eV/atom


No. 14
# Na2MgIrO6 | the Open Quantum Materials Database | GGA-PBE | optimized geometry
data_Na2MgIrO6
_space_group_name_H-M_alt 'F m -3 m'
_space_group_IT_number 225
_space_group_name_Hall '-F 4 2 3'
_cell_length_a 7.711
_cell_length_b 7.711
_cell_length_c 7.711
_cell_angle_alpha 90.00
_cell_angle_beta 90.00
_cell_angle_gamma 90.00
loop_
_atom_site_label
_atom_site_fract_x
_atom_site_fract_y
_atom_site_fract_z
Na1 0.250 0.250 0.250
Mg1 0.000 0.000 0.000
Ir1 0.000 0.000 0.500
O1 0.000 0.000 0.257
# **Crystal system**: cubic
# **Total DFT energy (no corrections)**: -5.545 eV/atom


No. 15
# Na2MgP2Ir | the Open Quantum Materials Database | GGA-PBE | optimized geometry
data_Na2MgP2Ir
_space_group_name_H-M_alt 'P -4 m 2'
_space_group_IT_number 115
_space_group_name_Hall 'P -4 -2'
_cell_length_a 3.984
_cell_length_b 3.984
_cell_length_c 7.020
_cell_angle_alpha 90.00
_cell_angle_beta 90.00
_cell_angle_gamma 90.00
loop_
_atom_site_label
_atom_site_fract_x
_atom_site_fract_y
_atom_site_fract_z
Na1 0.000 0.500 0.140
Mg1 0.000 0.000 0.500
P1 0.000 0.500 0.714
Ir1 0.500 0.500 0.500
# **Crystal system**: tetragonal
# **Total DFT energy (no corrections)**: -4.372 eV/atom


No. 16
# Na2Mg2Sn2IrPt | the Open Quantum Materials Database | GGA-PBE | optimized geometry
data_Na2Mg2Sn2IrPt
_space_group_name_H-M_alt 'P -4 m 2'
_space_group_IT_number 115
_space_group_name_Hall 'P -4 -2'
_cell_length_a 4.706
_cell_length_b 4.706
_cell_length_c 6.660
_cell_angle_alpha 90.00
_cell_angle_beta 90.00
_cell_angle_gamma 90.00
loop_
_atom_site_label
_atom_site_fract_x
_atom_site_fract_y
_atom_site_fract_z
Na1 0.000 0.000 0.000
Na2 0.500 0.500 0.500
Mg1 0.000 0.500 0.248
Sn1 0.000 0.500 0.757
Ir1 0.500 0.500 0.000
Pt1 0.000 0.000 0.500
# **Crystal system**: tetragonal
# **Total DFT energy (no corrections)**: -3.894 eV/atom


No. 17
# MgNbIr | the Open Quantum Materials Database | GGA-PBE | optimized geometry
data_MgNbIr
_space_group_name_H-M_alt 'F -4 3 m'
_space_group_IT_number 216
_space_group_name_Hall 'F -4 2 3'
_cell_length_a 6.154
_cell_length_b 6.154
_cell_length_c 6.154
_cell_angle_alpha 90.00
_cell_angle_beta 90.00
_cell_angle_gamma 90.00
loop_
_atom_site_label
_atom_site_fract_x
_atom_site_fract_y
_atom_site_fract_z
Mg1 0.000 0.000 0.000
Nb1 0.250 0.250 0.250
Ir1 0.000 0.000 0.500
# **Crystal system**: cubic
# **Total DFT energy (no corrections)**: -6.487 eV/atom


No. 18
# MgNbIr2 | the Open Quantum Materials Database | GGA-PBE | optimized geometry
data_MgNbIr2
_space_group_name_H-M_alt 'P 4/m m m'
_space_group_IT_number 123
_space_group_name_Hall '-P 4 2'
_cell_length_a 3.006
_cell_length_b 3.006
_cell_length_c 6.978
_cell_angle_alpha 90.00
_cell_angle_beta 90.00
_cell_angle_gamma 90.00
loop_
_atom_site_label
_atom_site_fract_x
_atom_site_fract_y
_atom_site_fract_z
Mg1 0.000 0.000 0.000
Nb1 0.000 0.000 0.500
Ir1 0.500 0.500 0.251
# **Crystal system**: tetragonal
# **Total DFT energy (no corrections)**: -7.824 eV/atom


No. 19
# Mg2NbIr | the Open Quantum Materials Database | GGA-PBE | optimized geometry
data_Mg2NbIr
_space_group_name_H-M_alt 'F -4 3 m'
_space_group_IT_number 216
_space_group_name_Hall 'F -4 2 3'
_cell_length_a 6.426
_cell_length_b 6.426
_cell_length_c 6.426
_cell_angle_alpha 90.00
_cell_angle_beta 90.00
_cell_angle_gamma 90.00
loop_
_atom_site_label
_atom_site_fract_x
_atom_site_fract_y
_atom_site_fract_z
Mg1 0.000 0.000 0.000
Mg2 0.250 0.250 0.250
Nb1 0.000 0.000 0.500
Ir1 0.250 0.250 0.750
# **Crystal system**: cubic
# **Total DFT energy (no corrections)**: -5.804 eV/atom


No. 20
# SrMgNbIr | the Open Quantum Materials Database | GGA-PBE | optimized geometry
data_SrMgNbIr
_space_group_name_H-M_alt 'F -4 3 m'
_space_group_IT_number 216
_space_group_name_Hall 'F -4 2 3'
_cell_length_a 6.787
_cell_length_b 6.787
_cell_length_c 6.787
_cell_angle_alpha 90.00
_cell_angle_beta 90.00
_cell_angle_gamma 90.00
loop_
_atom_site_label
_atom_site_fract_x
_atom_site_fract_y
_atom_site_fract_z
Sr1 0.000 0.000 0.000
Mg1 0.250 0.250 0.250
Nb1 0.250 0.250 0.750
Ir1 0.000 0.000 0.500
# **Crystal system**: cubic
# **Offset from the most stable computed form**: 0.0 kJ per mole of atoms